[1]
Density functional theory data (PBE) for BiPb after structural relaxation.

Lattice parameters (Å, degrees): 5.181 4.669 5.433 90.00 90.00 90.00
Fractional positions:
Pb 0.500 0.479 0.500
Bi 0.000 0.923 0.500
Pb 0.000 0.521 0.000
Bi 0.500 0.077 0.000

## Properties
Calculated density   10.52 Mg/m³
Total DFT energy (no corrections)   -3.766 eV/atom

[2]
Density functional theory data (PBE) for Bi4Pb7 after structural relaxation.

Lattice parameters (Å, degrees): 4.507 9.909 9.909 120.00 90.00 90.00
Fractional positions:
Pb 0.000 0.547 0.453
Pb 0.500 0.194 0.388
Bi 0.500 0.830 0.170
Pb 0.000 0.547 0.093
Pb 0.500 0.194 0.806
Bi 0.500 0.340 0.170
Pb 0.000 0.000 0.000
Pb 0.500 0.612 0.806
Bi 0.000 0.333 0.667
Pb 0.000 0.907 0.453
Bi 0.500 0.830 0.660

## Properties
Calculated density   9.91 Mg/m³
Total DFT energy (no corrections)   -3.702 eV/atom

[3]
Density functional theory data (PBE) for Bi3Pb8 after structural relaxation.

Lattice parameters (Å, degrees): 4.364 6.113 14.304 99.19 90.02 110.64
Fractional positions:
Pb 0.188 0.377 0.279
Pb 0.546 0.092 0.821
Bi 0.000 0.000 0.000
Pb 0.280 0.559 0.909
Bi 0.089 0.180 0.644
Bi 0.911 0.820 0.356
Pb 0.369 0.735 0.538
Pb 0.631 0.265 0.462
Pb 0.454 0.908 0.179
Pb 0.720 0.441 0.091
Pb 0.812 0.623 0.721

## Properties
Calculated density   10.78 Mg/m³
Energy above the most stable polymorph in this dataset   0 meV per atom

[4]
Density functional theory data (PBE) for Bi2Pd3Pb3 after structural relaxation.

Lattice parameters (Å, degrees): 4.222 7.098 13.786 90.00 90.00 107.30
Fractional positions:
Bi 0.229 0.459 0.099
Pb 0.053 0.106 0.887
Pb 0.947 0.894 0.113
Pb 0.053 0.106 0.613
Pd 0.601 0.201 0.466
Pd 0.377 0.755 0.250
Pb 0.947 0.894 0.387
Pd 0.399 0.799 0.966
Bi 0.771 0.541 0.599
Bi 0.229 0.459 0.401
Pd 0.601 0.201 0.034
Pb 0.402 0.805 0.750
Pd 0.623 0.245 0.750
Pb 0.598 0.195 0.250
Bi 0.771 0.541 0.901
Pd 0.399 0.799 0.534

## Properties
Calculated density   11.44 Mg/m³
Total DFT energy (no corrections)   -4.481 eV/atom

[5]
Density functional theory data (PBE) for Bi2PdPb8 after structural relaxation.

Lattice parameters (Å, degrees): 6.100 9.216 9.216 44.80 70.86 70.86
Fractional positions:
Pb 0.221 0.333 0.803
Pb 0.637 0.643 0.643
Pd 0.000 0.000 0.000
Bi 0.583 0.143 0.143
Pb 0.975 0.247 0.247
Pb 0.779 0.667 0.197
Pb 0.221 0.803 0.333
Pb 0.363 0.357 0.357
Pb 0.025 0.753 0.753
Pb 0.779 0.197 0.667
Bi 0.417 0.857 0.857

## Properties
Calculated density   10.62 Mg/m³
Energy above the most stable polymorph in this dataset   0 meV per atom

[6]
Density functional theory data (PBE) for Bi2PdPb3 after structural relaxation.

Lattice parameters (Å, degrees): 6.755 6.755 11.716 58.29 58.29 87.98
Fractional positions:
Pd 0.666 0.334 0.250
Pb 0.176 0.003 0.558
Bi 0.782 0.548 0.368
Bi 0.452 0.218 0.132
Pb 0.643 0.357 0.750
Pd 0.334 0.666 0.750
Bi 0.218 0.452 0.632
Pb 0.824 0.997 0.442
Pb 0.357 0.643 0.250
Pb 0.997 0.824 0.942
Pb 0.003 0.176 0.058
Bi 0.548 0.782 0.868

## Properties
Calculated density   10.43 Mg/m³
Total DFT energy (no corrections)   -4.073 eV/atom

[7]
Density functional theory data (PBE) for Bi2Pd8Pb after structural relaxation.

Lattice parameters (Å, degrees): 4.233 6.547 7.871 107.60 105.60 90.00
Fractional positions:
Pd 0.676 0.918 0.352
Bi 0.207 0.659 0.414
Pd 0.037 0.732 0.074
Pd 0.963 0.268 0.926
Pd 0.415 0.548 0.830
Pd 0.324 0.082 0.648
Pb 0.500 0.000 0.000
Bi 0.793 0.341 0.586
Pd 0.856 0.807 0.712
Pd 0.144 0.193 0.288
Pd 0.585 0.452 0.170

## Properties
Calculated density   12.29 Mg/m³
Energy above the most stable polymorph in this dataset   0 meV per atom

[8]
Density functional theory data (PBE) for Bi3Pd4Pb2 after structural relaxation.

Lattice parameters (Å, degrees): 6.678 7.050 9.560 90.00 110.44 90.00
Fractional positions:
Pd 0.838 0.029 0.675
Pb 0.091 0.585 0.181
Bi 0.511 0.750 0.522
Bi 0.489 0.250 0.478
Pd 0.330 0.250 0.161
Pb 0.591 0.915 0.181
Bi 0.989 0.250 0.478
Pd 0.670 0.750 0.839
Bi 0.000 0.000 0.000
Pd 0.662 0.529 0.325
Bi 0.500 0.500 0.000
Pd 0.830 0.250 0.161
Bi 0.011 0.750 0.522
Pd 0.338 0.471 0.675
Pd 0.162 0.971 0.325
Pb 0.409 0.085 0.819
Pd 0.170 0.750 0.839
Pb 0.909 0.415 0.819

## Properties
Calculated density   11.55 Mg/m³
Total DFT energy (no corrections)   -4.665 eV/atom

[9]
Density functional theory data (PBE) for Bi2Pd4Pb after structural relaxation.

Lattice parameters (Å, degrees): 7.863 7.269 7.511 108.68 123.92 101.18
Fractional positions:
Bi 0.471 0.385 0.639
Pd 0.494 0.064 0.322
Pd 0.626 0.877 0.028
Pb 0.328 0.775 0.507
Pd 0.011 0.351 0.353
Pb 0.000 0.928 0.040
Pd 0.104 0.064 0.537
Pd 0.278 0.375 0.179
Pd 0.124 0.780 0.746
Pd 0.763 0.158 0.830
Pd 0.850 0.605 0.150
Bi 0.004 0.391 0.736
Bi 0.684 0.772 0.390
Bi 0.515 0.225 0.041

## Properties
Calculated density   11.75 Mg/m³
Energy above the most stable polymorph in this dataset   7 meV per atom

[10]
Density functional theory data (PBE) for Bi2PdPb6 after structural relaxation.

Lattice parameters (Å, degrees): 4.245 8.586 8.585 120.01 90.00 90.00
Fractional positions:
Pd 0.500 0.000 0.000
Pb 0.500 0.630 0.000
Pb 0.000 0.238 0.000
Pb 0.000 0.762 0.761
Bi 0.000 0.667 0.333
Pb 0.500 0.370 0.370
Bi 0.000 0.333 0.667
Pb 0.000 0.000 0.239
Pb 0.500 0.000 0.630

## Properties
Calculated density   10.83 Mg/m³
Energy above the most stable polymorph in this dataset   0 meV per atom

[11]
Density functional theory data (PBE) for Bi3Pd2Pb after structural relaxation.

Lattice parameters (Å, degrees): 4.521 7.497 8.955 90.00 90.00 90.00
Fractional positions:
Pd 0.000 0.752 0.361
Pb 0.500 0.522 0.589
Bi 0.000 0.485 0.895
Bi 0.000 0.359 0.326
Pd 0.500 0.744 0.860
Pd 0.000 0.252 0.639
Bi 0.500 0.638 0.172
Pd 0.500 0.244 0.140
Pb 0.500 0.022 0.411
Bi 0.500 0.138 0.828
Bi 0.000 0.985 0.105
Bi 0.000 0.859 0.674

## Properties
Calculated density   11.46 Mg/m³
Energy above the most stable polymorph in this dataset   0 meV per atom

[12]
Density functional theory data (PBE) for BiPd6Pb after structural relaxation.

Lattice parameters (Å, degrees): 4.130 4.130 8.212 90.00 90.00 90.00
Fractional positions:
Pd 0.500 0.000 0.252
Pd 0.500 0.500 0.500
Pb 0.000 0.000 0.500
Bi 0.000 0.000 0.000
Pd 0.000 0.500 0.748
Pd 0.000 0.500 0.252
Pd 0.500 0.500 0.000
Pd 0.500 0.000 0.748

## Properties
Calculated density   12.50 Mg/m³
Total DFT energy (no corrections)   -5.106 eV/atom

Values of DOS(E_F), in order: 1.28 5.27 4.53 7.48 5.14 4.70 5.22 6.88 5.45 4.29 5.17 3.02, all in states/eV per cell.